[1]
{
  "formula": "K3Nb2AsSe11",
  "functional": "PBE",
  "state": "relaxed",
  "cell": [[7.6150, -6.6735, 0.0765], [7.6150, 6.6735, 0.0765], [-1.7443, 0.0000, 9.8834]],
  "species": ["Se", "Se", "Se", "Se", "Se", "Se", "Se", "Se", "Se", "Se", "Se", "Se", "Se", "Se", "Se", "Se", "Se", "Se", "Se", "Se", "Se", "Se", "K", "K", "K", "K", "K", "K", "Nb", "Nb", "Nb", "Nb", "As", "As"],
  "frac_coords": [[0.9430, 0.5978, 0.7527], [0.5064, 0.1979, 0.0081], [0.2609, 0.9431, 0.3736], [0.5978, 0.9430, 0.2527], [0.1306, 0.5194, 0.1556], [0.4943, 0.5729, 0.1076], [0.3118, 0.8139, 0.5628], [0.7861, 0.9386, 0.9144], [0.5729, 0.4943, 0.6076], [0.8139, 0.3118, 0.0628], [0.9431, 0.2609, 0.8736], [0.2251, 0.0298, 0.0931], [0.7411, 0.1426, 0.5947], [0.6393, 0.4417, 0.8335], [0.4453, 0.8132, 0.9095], [0.1979, 0.5064, 0.5081], [0.9386, 0.7861, 0.4144], [0.1426, 0.7411, 0.0947], [0.4417, 0.6393, 0.3335], [0.0298, 0.2251, 0.5931], [0.8132, 0.4453, 0.4095], [0.5194, 0.1306, 0.6556], [0.0543, 0.8990, 0.7466], [0.6632, 0.8014, 0.5863], [0.2712, 0.4317, 0.8378], [0.8990, 0.0543, 0.2466], [0.4317, 0.2712, 0.3378], [0.8014, 0.6632, 0.0863], [0.1580, 0.7090, 0.3537], [0.4117, 0.8255, 0.1692], [0.7090, 0.1580, 0.8537], [0.8255, 0.4117, 0.6692], [0.0437, 0.3520, 0.4001], [0.3520, 0.0437, 0.9001]],
  "space_group": "Cc, No. 9",
  "e_tot_ev_per_atom": -4.639,
  "magmom_total_mub_per_cell": 0.00
}

---

[2]
{
  "formula": "K6NbTlAs4",
  "functional": "PBE",
  "state": "relaxed",
  "cell": [[18.9964, 0.0000, 0.0000], [0.0000, 10.5247, 0.0000], [0.0000, 0.0000, 7.8333]],
  "species": ["K", "K", "K", "K", "K", "K", "K", "K", "K", "K", "K", "K", "K", "K", "K", "K", "K", "K", "K", "K", "K", "K", "K", "K", "As", "As", "As", "As", "As", "As", "As", "As", "As", "As", "As", "As", "As", "As", "As", "As", "Tl", "Tl", "Tl", "Tl", "Nb", "Nb", "Nb", "Nb"],
  "frac_coords": [[0.2567, 0.4538, 0.9929], [0.5790, 0.0196, 0.7787], [0.9210, 0.9804, 0.2787], [0.0790, 0.0196, 0.7213], [0.5025, 0.2500, 0.4454], [0.2433, 0.9538, 0.4929], [0.7567, 0.0462, 0.5071], [0.5790, 0.4804, 0.7787], [0.4210, 0.9804, 0.2213], [0.8476, 0.7500, 0.6799], [0.7433, 0.5462, 0.0071], [0.3476, 0.7500, 0.8201], [0.0025, 0.2500, 0.0546], [0.7433, 0.9538, 0.0071], [0.2567, 0.0462, 0.9929], [0.4210, 0.5196, 0.2213], [0.6524, 0.2500, 0.1799], [0.1524, 0.2500, 0.3201], [0.9210, 0.5196, 0.2787], [0.0790, 0.4804, 0.7213], [0.9975, 0.7500, 0.9454], [0.2433, 0.5462, 0.4929], [0.7567, 0.4538, 0.5071], [0.4975, 0.7500, 0.5546], [0.1019, 0.5552, 0.2119], [0.2947, 0.7500, 0.2044], [0.7053, 0.2500, 0.7956], [0.8981, 0.0552, 0.7881], [0.3303, 0.2500, 0.2872], [0.6697, 0.7500, 0.7128], [0.3981, 0.4448, 0.7119], [0.8303, 0.2500, 0.2128], [0.3981, 0.0552, 0.7119], [0.1019, 0.9448, 0.2119], [0.8981, 0.4448, 0.7881], [0.6019, 0.5552, 0.2881], [0.1697, 0.7500, 0.7872], [0.2053, 0.2500, 0.7044], [0.6019, 0.9448, 0.2881], [0.7947, 0.7500, 0.2956], [0.5512, 0.7500, 0.0577], [0.9488, 0.2500, 0.5577], [0.0512, 0.7500, 0.4423], [0.4488, 0.2500, 0.9423], [0.6693, 0.7500, 0.3956], [0.1693, 0.7500, 0.1044], [0.3307, 0.2500, 0.6044], [0.8307, 0.2500, 0.8956]],
  "space_group": "Pnma, No. 62",
  "e_tot_ev_per_atom": -3.616,
  "magmom_total_mub_per_cell": 0.00
}